The following is a PBE+U calculation of a relaxed structure of TiMo2O8, from Alexandria.

Calculated values
* volume: 19.069 A^3/atom
* symmetry: No. 12
* energy: -7.380 eV/atom

POSCAR file:
```
TiMo2O8
1.0
5.1911 -3.8954 0.0000
5.1911 3.8954 0.0000
-0.8690 0.0000 5.1866
Ti Mo O
1 2 8
Cartesian
0.0000 0.0000 0.0000
1.3678 0.0000 3.4453
8.1453 0.0000 1.7414
3.9083 2.6020 0.8659
1.0866 0.0000 1.6192
5.6048 2.6020 4.3207
3.0396 0.0000 3.8293
6.4735 0.0000 1.3574
3.9083 -2.6020 0.8659
8.4266 0.0000 3.5674
5.6048 -2.6020 4.3207
```